1.
Below is crystalline Pu2TlPdO8 at its relaxed geometry, with properties calculated at the GGA-PBE level.

a = 5.676 Å, b = 5.676 Å, c = 7.041 Å
α = 90.00°, β = 90.00°, γ = 120.00°
Last column: magnetic moment on the atom in μB.
Atoms (fractional coordinates):
Pu: 0.667 0.333 0.097  3.03
Pu: 0.333 0.667 0.903  3.03
Tl: 0.000 0.000 0.500  -0.01
Pd: 0.000 0.000 0.000  0.10
O: 0.927 0.645 0.869  -0.10
O: 0.355 0.281 0.869  -0.10
O: 0.719 0.073 0.869  -0.10
O: 0.073 0.355 0.131  -0.10
O: 0.645 0.719 0.131  -0.10
O: 0.281 0.927 0.131  -0.10
O: 0.667 0.333 0.361  -0.26
O: 0.333 0.667 0.639  -0.26

Calculated values
Density of states at the Fermi level in states/eV per cell: 6.8
Total DFT energy (no corrections) in eV/atom: -7.935
Crystal system: trigonal

***

2.
Below is crystalline Ti6FeIr2 at its relaxed geometry, with properties calculated at the GGA-PBE level.

a = 4.278 Å, b = 5.991 Å, c = 7.238 Å
α = 114.45°, β = 107.24°, γ = 90.00°
Atoms (fractional coordinates):
Ti: 0.161 0.405 0.322
Ti: 0.839 0.082 0.678
Ti: 0.839 0.595 0.678
Ti: 0.500 0.238 0.000
Ti: 0.161 0.918 0.322
Ti: 0.500 0.762 0.000
Fe: 0.000 0.000 0.000
Ir: 0.666 0.666 0.332
Ir: 0.334 0.334 0.668

Calculated values
Density of states at the Fermi level in states/eV per cell: 11.0
Total DFT energy (no corrections) in eV/atom: -8.456
Crystal system: orthorhombic

***

3.
Below is crystalline LaTl2Pd at its relaxed geometry, with properties calculated at the GGA-PBE level.

a = 3.508 Å, b = 3.508 Å, c = 10.802 Å
α = 80.66°, β = 80.66°, γ = 60.00°
Atoms (fractional coordinates):
Tl: 0.103 0.103 0.692
Tl: 0.897 0.897 0.308
Pd: 0.500 0.500 0.500
La: 0.000 0.000 0.000

Calculated values
Density of states at the Fermi level in states/eV per cell: 3.5
Total DFT energy (no corrections) in eV/atom: -3.666
Crystal system: trigonal

***

4.
Below is crystalline Y5TmSe6 at its relaxed geometry, with properties calculated at the GGA-PBE level.

a = 7.045 Å, b = 7.058 Å, c = 7.069 Å
α = 60.05°, β = 80.37°, γ = 70.43°
Atoms (fractional coordinates):
Y: 0.500 0.170 0.659
Y: 0.000 0.332 0.335
Y: 0.500 0.500 0.000
Y: 0.000 0.668 0.665
Y: 0.500 0.830 0.341
Tm: 0.000 0.000 0.000
Se: 0.753 0.083 0.328
Se: 0.247 0.589 0.328
Se: 0.249 0.246 0.000
Se: 0.751 0.754 0.000
Se: 0.753 0.411 0.672
Se: 0.247 0.917 0.672

Calculated values
Density of states at the Fermi level in states/eV per cell: 5.0
Total DFT energy (no corrections) in eV/atom: -6.557
Crystal system: monoclinic

***

5.
Below is crystalline YTeSe2 at its relaxed geometry, with properties calculated at the GGA-PBE level.

a = 5.224 Å, b = 5.224 Å, c = 5.796 Å
α = 84.33°, β = 84.33°, γ = 44.67°
Atoms (fractional coordinates):
Se: 0.946 0.946 0.057
Se: 0.554 0.554 0.443
Te: 0.750 0.750 0.750
Y: 0.250 0.250 0.250

Calculated values
Density of states at the Fermi level in states/eV per cell: 2.4
Total DFT energy (no corrections) in eV/atom: -5.046
Crystal system: monoclinic

***

6.
Below is crystalline Dy2ThNpP4 at its relaxed geometry, with properties calculated at the GGA-PBE level.

a = 4.038 Å, b = 6.986 Å, c = 6.986 Å
α = 109.52°, β = 90.00°, γ = 90.00°
Last column: magnetic moment on the atom in μB.
Atoms (fractional coordinates):
Dy: 0.500 0.000 0.500  0.02
Dy: 0.000 0.500 0.500  0.02
Th: 0.500 0.500 0.000  0.04
Np: 0.000 0.000 0.000  3.65
P: 0.500 0.244 0.249  -0.06
P: 0.500 0.756 0.751  -0.06
P: 0.000 0.243 0.746  -0.02
P: 0.000 0.757 0.254  -0.02

Calculated values
Density of states at the Fermi level in states/eV per cell: 11.4
Total DFT energy (no corrections) in eV/atom: -7.809
Crystal system: monoclinic

***

Question: Which formula does entry 2 have?
Answer: Ti6FeIr2

***

Question: What is the formula in the fourth record?
Answer: Y5TmSe6

***

Copy entry 2 word for word.
Below is crystalline Ti6FeIr2 at its relaxed geometry, with properties calculated at the GGA-PBE level.

a = 4.278 Å, b = 5.991 Å, c = 7.238 Å
α = 114.45°, β = 107.24°, γ = 90.00°
Atoms (fractional coordinates):
Ti: 0.161 0.405 0.322
Ti: 0.839 0.082 0.678
Ti: 0.839 0.595 0.678
Ti: 0.500 0.238 0.000
Ti: 0.161 0.918 0.322
Ti: 0.500 0.762 0.000
Fe: 0.000 0.000 0.000
Ir: 0.666 0.666 0.332
Ir: 0.334 0.334 0.668

Calculated values
Density of states at the Fermi level in states/eV per cell: 11.0
Total DFT energy (no corrections) in eV/atom: -8.456
Crystal system: orthorhombic

***

What did the second record say?
Below is crystalline Ti6FeIr2 at its relaxed geometry, with properties calculated at the GGA-PBE level.

a = 4.278 Å, b = 5.991 Å, c = 7.238 Å
α = 114.45°, β = 107.24°, γ = 90.00°
Atoms (fractional coordinates):
Ti: 0.161 0.405 0.322
Ti: 0.839 0.082 0.678
Ti: 0.839 0.595 0.678
Ti: 0.500 0.238 0.000
Ti: 0.161 0.918 0.322
Ti: 0.500 0.762 0.000
Fe: 0.000 0.000 0.000
Ir: 0.666 0.666 0.332
Ir: 0.334 0.334 0.668

Calculated values
Density of states at the Fermi level in states/eV per cell: 11.0
Total DFT energy (no corrections) in eV/atom: -8.456
Crystal system: orthorhombic